DFT (PBE-GGA) results for a relaxed BeSiPb4 crystal.

a b c (Å): 6.3711 6.3711 6.3711
angles (deg): 60.00 60.00 60.00
Positions (direct):
Be  0.0000  0.0000  0.0000
Pb  0.3749  0.3749  0.8752
Pb  0.3749  0.8752  0.3749
Pb  0.8752  0.3749  0.3749
Pb  0.3749  0.3749  0.3749
Si  0.7500  0.7500  0.7500

Space group ... F-43m, No. 216
Formation energy without anion corrections ... 0.939 eV per atom
Crystal system ... cubic

---

DFT (PBE-GGA) results for a relaxed Ba6LiCa crystal.

a b c (Å): 10.8814 10.8612 7.6831
angles (deg): 45.00 44.89 59.90
Site moments in Bohr magnetons follow the coordinates.
Positions (direct):
Ba  0.2491  0.0004  0.2512  -0.02
Ba  0.0005  0.4996  0.7487  0.05
Ba  0.7509  0.9996  0.7488  -0.02
Ba  0.9995  0.5004  0.2513  0.05
Ba  0.4992  0.7514  0.7496  -0.01
Ba  0.5008  0.2486  0.2504  -0.01
Li  0.0000  0.0000  0.0000  0.00
Ca  0.5000  0.5000  0.5000  0.00

Space group ... P-1, No. 2
Energy relative to the lowest polymorph listed for this composition ... 30.5 meV per atom
Formation enthalpy at 0 K ... 85 meV/atom
Crystal system ... triclinic

---

DFT (PBE-GGA) results for a relaxed BeCdAg4 crystal.

a b c (Å): 5.4588 5.4588 5.4588
angles (deg): 60.00 60.00 60.00
Positions (direct):
Ag  0.3752  0.8743  0.3752
Ag  0.3752  0.3752  0.8743
Ag  0.8743  0.3752  0.3752
Ag  0.3752  0.3752  0.3752
Cd  0.0000  0.0000  0.0000
Be  0.7500  0.7500  0.7500

Space group ... F-43m, No. 216
Formation enthalpy at 0 K ... 405 meV/atom
Crystal system ... cubic

---

DFT (PBE-GGA) results for a relaxed Tb5Dy12Er2 crystal.

a b c (Å): 9.1911 8.9958 8.5583
angles (deg): 91.87 90.00 120.72
Positions (direct):
Dy  0.0743  0.1486  0.8745
Dy  0.0311  0.7022  0.7609
Dy  0.3289  0.2978  0.2391
Dy  0.9689  0.2978  0.2391
Dy  0.9257  0.8514  0.1255
Dy  0.5573  0.1145  0.3375
Dy  0.6711  0.7022  0.7609
Dy  0.1778  0.7404  0.3283
Dy  0.4374  0.2596  0.6717
Dy  0.4427  0.8855  0.6625
Dy  0.8222  0.2596  0.6717
Dy  0.5626  0.7404  0.3283
Tb  0.2941  0.5881  0.9771
Tb  0.2308  0.4616  0.5709
Tb  0.0000  0.0000  0.5000
Tb  0.7692  0.5384  0.4291
Tb  0.7059  0.4119  0.0229
Er  0.3279  0.0000  0.0000
Er  0.6721  0.0000  0.0000

Space group ... C2/m, No. 12
Energy relative to the lowest polymorph listed for this composition ... 36.8 meV per atom
Formation enthalpy at 0 K ... 124 meV/atom
Crystal system ... monoclinic

---

DFT (PBE-GGA) results for a relaxed Zn6PdAu3 crystal.

a b c (Å): 4.5169 7.4708 10.0821
angles (deg): 113.10 90.00 90.00
Positions (direct):
Zn  0.2500  0.1647  0.1669
Zn  0.2500  0.2500  0.4764
Zn  0.7500  0.5365  0.9287
Zn  0.2500  0.8690  0.2879
Zn  0.7500  0.3228  0.3243
Zn  0.7500  0.1310  0.7121
Zn  0.2500  0.4635  0.0713
Zn  0.2500  0.6772  0.6757
Zn  0.2500  0.0587  0.8599
Zn  0.7500  0.9413  0.1401
Zn  0.7500  0.8353  0.8331
Zn  0.7500  0.7500  0.5236
Au  0.7500  0.2217  0.0188
Au  0.7500  0.6382  0.2245
Au  0.2500  0.5427  0.3758
Au  0.7500  0.4573  0.6242
Au  0.2500  0.3618  0.7755
Au  0.2500  0.7783  0.9812
Pd  0.2500  0.9570  0.5749
Pd  0.7500  0.0430  0.4251

Space group ... P2_1/m, No. 11
Energy relative to the lowest polymorph listed for this composition ... 0.0 meV per atom
Formation enthalpy at 0 K ... -243 meV/atom
Crystal system ... monoclinic

---

DFT (PBE-GGA) results for a relaxed GaCoGePt crystal.

a b c (Å): 5.0211 2.9319 7.9373
angles (deg): 90.00 101.51 90.00
Site moments in Bohr magnetons follow the coordinates.
Positions (direct):
Co  0.2970  0.0000  0.4539  0.21
Co  0.2970  0.5000  0.9539  0.21
Ga  0.5417  0.5000  0.6963  -0.01
Ga  0.5417  0.0000  0.1963  -0.01
Pt  0.8057  0.0000  0.9512  0.00
Pt  0.8057  0.5000  0.4512  0.00
Ge  0.0897  0.0000  0.7115  -0.01
Ge  0.0897  0.5000  0.2115  -0.01

Space group ... Cm, No. 8
Energy relative to the lowest polymorph listed for this composition ... 102.6 meV per atom
Formation enthalpy at 0 K ... -212 meV/atom
Crystal system ... monoclinic

---

DFT (PBE-GGA) results for a relaxed Pm2Nd6Sm3 crystal.

a b c (Å): 3.6602 3.6602 32.9342
angles (deg): 86.81 86.81 60.00
Positions (direct):
Sm  0.2729  0.2729  0.1814
Sm  0.0000  0.0000  0.0000
Sm  0.7271  0.7271  0.8186
Nd  0.1820  0.1820  0.4541
Nd  0.3636  0.3636  0.9092
Nd  0.8180  0.8180  0.5459
Nd  0.9093  0.9093  0.2721
Nd  0.0907  0.0907  0.7279
Nd  0.6364  0.6364  0.0908
Pm  0.5456  0.5456  0.3631
Pm  0.4544  0.4544  0.6369

Space group ... R-3m, No. 166
Energy relative to the lowest polymorph listed for this composition ... 0.0 meV per atom
Formation enthalpy at 0 K ... 10 meV/atom
Crystal system ... trigonal

---

DFT (PBE-GGA) results for a relaxed Er2ZrTaN4 crystal.

a b c (Å): 3.2687 5.6713 5.7381
angles (deg): 109.18 90.00 90.00
Positions (direct):
Zr  0.5000  0.5000  0.0000
N  0.0000  0.7518  0.2344
N  0.0000  0.2482  0.7656
N  0.5000  0.2354  0.2296
N  0.5000  0.7646  0.7704
Ta  0.0000  0.0000  0.0000
Er  0.0000  0.5000  0.5000
Er  0.5000  0.0000  0.5000

Space group ... P2/m, No. 10
Formation energy without anion corrections ... -1.588 eV per atom
Crystal system ... monoclinic

---

DFT (PBE-GGA) results for a relaxed Ac2HfScO6 crystal.

a b c (Å): 5.8717 5.8722 8.3265
angles (deg): 90.00 90.00 90.00
Positions (direct):
O  0.5000  0.2503  0.7489
O  0.7488  0.0008  0.5000
O  0.0000  0.7497  0.7511
O  0.7510  0.5011  0.0000
O  0.2512  0.0008  0.5000
O  0.5000  0.2503  0.2511
O  0.2510  0.4989  0.5000
O  0.7490  0.4989  0.5000
O  0.2488  0.9992  0.0000
O  0.2490  0.5011  0.0000
O  0.7512  0.9992  0.0000
O  0.0000  0.7497  0.2489
Hf  0.0000  0.7501  0.0000
Hf  0.5000  0.2499  0.5000
Ac  0.5000  0.7499  0.7499
Ac  0.0000  0.2501  0.2499
Ac  0.0000  0.2501  0.7501
Ac  0.5000  0.7499  0.2501
Sc  0.5000  0.2501  0.0000
Sc  0.0000  0.7499  0.5000

Space group ... I4/mmm, No. 139
Formation energy without anion corrections ... -3.284 eV per atom
Crystal system ... tetragonal

---

DFT (PBE-GGA) results for a relaxed AcMgTcO6 crystal.

a b c (Å): 5.2843 5.2843 5.2828
angles (deg): 90.00 90.00 60.00
Positions (direct):
Mg  0.6666  0.6667  0.5000
O  0.6112  0.3647  0.7069
O  0.3647  0.0240  0.7069
O  0.0240  0.3647  0.2931
O  0.0240  0.6113  0.7069
O  0.3647  0.6112  0.2931
O  0.6112  0.0240  0.2931
Tc  0.3333  0.3333  0.5000
Ac  0.0000  0.0000  0.0000

Space group ... P312, No. 149
Formation energy without anion corrections ... -2.209 eV per atom
Crystal system ... trigonal

---

DFT (PBE-GGA) results for a relaxed Tb4Ho3TmSe8 crystal.

a b c (Å): 8.1281 8.1575 8.1288
angles (deg): 119.89 120.00 90.00
Positions (direct):
Se  0.2473  0.7446  0.4946
Se  0.7501  0.7444  0.9972
Se  0.2514  0.2541  0.5028
Se  0.2471  0.7444  0.9972
Se  0.7486  0.7459  0.4972
Se  0.7529  0.2556  0.0028
Se  0.2499  0.2556  0.0028
Se  0.7527  0.2554  0.5054
Ho  0.0000  0.5000  0.5000
Ho  0.5000  0.5000  0.5000
Ho  0.5000  0.5000  0.0000
Tb  0.0000  0.0000  0.5000
Tb  0.0000  0.0000  0.0000
Tb  0.5000  0.0000  0.0000
Tb  0.5000  0.0000  0.5000
Tm  0.0000  0.5000  0.0000

Space group ... R-3m, No. 166
Formation energy without anion corrections ... -1.735 eV per atom
Crystal system ... trigonal

---

DFT (PBE-GGA) results for a relaxed Ta2Co3 crystal.

a b c (Å): 4.7960 4.7960 6.8225
angles (deg): 90.00 90.00 60.54
Positions (direct):
Co  0.8595  0.3595  0.2500
Co  0.3595  0.8595  0.2500
Co  0.1405  0.6405  0.7500
Co  0.0000  0.0000  0.0000
Co  0.5000  0.5000  0.5000
Co  0.6405  0.1405  0.7500
Ta  0.1567  0.1567  0.5990
Ta  0.6567  0.6567  0.9010
Ta  0.8433  0.8433  0.4009
Ta  0.3433  0.3433  0.0991

Space group ... Cmce, No. 64
Energy relative to the lowest polymorph listed for this composition ... 78.9 meV per atom
Formation enthalpy at 0 K ... -130 meV/atom
Crystal system ... orthorhombic